The following is a PBE calculation of Th8Ge3TeAs4 after structural relaxation, from the Alexandria database.

The space group is R-3m (No. 166, hexagonal axes) and the conventional cell measures 8.6158, 8.6158 and 21.0447 Å, with angles of 90.00, 90.00 and 120.00 degrees. The distinct sites, in fractional coordinates, are Th at (0.0000, 0.0000, 0.2491), Th at (0.0133, 0.5067, 0.7477), Ge at (0.0000, 0.5000, 0.5000), Te at (0.0000, 0.0000, 0.5000), As at (0.0000, 0.0000, 0.0000) and As at (0.0000, 0.5000, 0.0000).

The volume is 28.2 Å³ per atom. The value obtained for the uncorrected formation energy is -1.137 eV per atom. The calculation puts the total energy at -7.071 eV per atom.